Entry 1:
Here is a relaxed structure of Li2DyAsO4 from the Alexandria database. Energies are from PBE.

Cell: 5.6840 5.6840 5.6840 Å, 134.03 134.03 67.04°
Fractional coordinates of all 8 atoms:
Li1 0.0000 0.0000 0.0000
Li2 0.7500 0.2500 0.5000
Dy1 0.2500 0.7500 0.5000
As1 0.5000 0.5000 0.0000
O1 0.0061 0.5061 0.5000
O2 0.2716 0.2716 0.0000
O3 0.4939 0.9939 0.5000
O4 0.7284 0.7284 0.0000

Formation energy (no corrections) = -2097 meV/atom
E_tot = -49.7 eV per formula unit
Symmetry = I-4m2 (119)
Magnetization = 0.00 μB per formula unit

---

Entry 2:
Here is a relaxed structure of Y2AlIn from the Alexandria database. Energies are from PBE.

Cell: 3.5817 4.8408 6.2605 Å, 90.00 90.00 90.00°
Fractional coordinates of all 4 atoms:
Y1 0.0000 0.0000 0.0000
Y2 0.5000 0.5000 0.3343
Al1 0.0000 0.0000 0.4896
In1 0.5000 0.5000 0.8245

E_form = -0.176 eV/atom
E_tot = -20.1 eV per formula unit
Symmetry = Pmm2 (25)
Magnetization = 0.00 μB per formula unit

---

Entry 3:
Here is a relaxed structure of CaBiTe2O8 from the Alexandria database. Energies are from PBE.

Cell: 6.9529 6.9529 6.9529 Å, 134.30 134.30 66.62°
Fractional coordinates of all 12 atoms:
Ca1 0.0000 0.0000 0.0000
Bi1 0.2500 0.7500 0.5000
Te1 0.5000 0.5000 0.0000
Te2 0.7500 0.2500 0.5000
O1 0.0009 0.0930 0.4236
O2 0.2393 0.6671 0.0851
O3 0.3329 0.4180 0.5722
O4 0.4227 0.9991 0.0921
O5 0.5820 0.1542 0.9149
O6 0.6694 0.5773 0.5764
O7 0.8458 0.7607 0.4278
O8 0.9070 0.3306 0.9079

Formation energy (no corrections) = -1325 meV/atom
E_tot = -67.7 eV per formula unit
Symmetry = I-4 (82)
Magnetization = 0.93 μB per formula unit